The following is a PBE calculation of BaCu2SiRh after structural relaxation, from Alexandria.

Output
Total moment in μB per atom: 0.0000
Crystal system: tetragonal
Energy relative to the elements, uncorrected in eV per atom: 0.61
Total DFT energy (no corrections) in Ry/atom: -0.2914

Lattice parameters (Å, degrees): 4.4080 4.4080 6.2231 90.00 90.00 90.00
Last column: nearest neighbours and their distance in Å.
Space group P4/mmm (No. 123)
One atom of each set of equivalent atoms:
Ba: 0.0000 0.0000 0.0000  2 Si 3.11, 4 Rh 3.12
Cu: 0.0000 0.5000 0.5000  2 Si 2.20
Si: 0.0000 0.0000 0.5000  4 Cu 2.20
Rh: 0.5000 0.5000 0.0000  4 Ba 3.12

***

The following is a PBE calculation of Ba2CuSn4Rh3 after structural relaxation, from Alexandria.

Output
Total moment in μB per atom: 0.0000
Crystal system: tetragonal
Energy of formation from the pure elements in eV/atom: -0.5111
Total DFT energy (no corrections) in Ry/atom: -0.3757

Lattice parameters (Å, degrees): 4.7528 4.7528 10.6881 90.00 90.00 90.00
Last column: nearest neighbours and their distance in Å.
Space group P-4m2 (No. 115)
One atom of each set of equivalent atoms:
Ba: 0.0000 0.5000 0.2429  2 Cu 3.52, 6 Rh 3.52-3.65, 9 Sn 3.61-3.87
Cu: 0.5000 0.5000 0.0000  4 Sn 2.70
Sn: 0.0000 0.0000 0.5000  4 Rh 2.73
Sn: 0.0000 0.5000 0.8809  2 Cu 2.70, 3 Rh 2.70-2.73
Sn: 0.5000 0.5000 0.5000  4 Rh 2.73
Rh: 0.0000 0.0000 0.0000  4 Sn 2.70
Rh: 0.0000 0.5000 0.6251  5 Sn 2.73

***

The following is a PBE calculation of BaSrCuRh after structural relaxation, from Alexandria.

Output
Total moment in μB per atom: 0.0000
Crystal system: trigonal
Energy of formation from the pure elements in eV/atom: -0.2087
Total DFT energy (no corrections) in Ry/atom: -0.2919

Lattice parameters (Å, degrees): 4.3894 4.3894 24.1875 90.00 90.00 120.00
Last column: nearest neighbours and their distance in Å.
Space group R3m (No. 160, hexagonal axes)
One atom of each set of equivalent atoms:
Ba: 0.0000 0.0000 0.0000  3 Rh 3.27, 3 Cu 3.29
Sr: 0.0000 0.0000 0.1650  3 Cu 3.16, 3 Rh 3.18
Cu: 0.0000 0.0000 0.4204  3 Rh 2.53
Rh: 0.0000 0.0000 0.7521  3 Cu 2.53

***

The following is a PBE calculation of Ba2TlCuRh after structural relaxation, from Alexandria.

Output
Total moment in μB per atom: 0.0003
Crystal system: tetragonal
Energy of formation from the pure elements in eV/atom: 0.0335
Distance to the lowest polymorph of the same formula in meV per atom: 33
Total DFT energy (no corrections) in Ry/atom: -0.2571

Lattice parameters (Å, degrees): 5.9522 5.9522 4.8711 90.00 90.00 90.00
Last column: nearest neighbours and their distance in Å.
Space group P4/mmm (No. 123)
One atom of each set of equivalent atoms:
Ba: 0.0000 0.5000 0.0000  2 Rh 2.98
Tl: 0.0000 0.0000 0.5000  8 Ba 3.85, 4 Cu 4.21
Cu: 0.5000 0.5000 0.5000  2 Rh 2.44
Rh: 0.5000 0.5000 0.0000  2 Cu 2.44

***

The following is a PBE calculation of Ba2TlCuRh after structural relaxation, from Alexandria.

Output
Total moment in μB per atom: 0.0002
Crystal system: tetragonal
Energy of formation from the pure elements in eV/atom: 0.0001
Distance to the lowest polymorph of the same formula in meV per atom: 0
Total DFT energy (no corrections) in Ry/atom: -0.2596

Lattice parameters (Å, degrees): 5.9771 5.9771 5.2546 90.00 90.00 90.00
Last column: nearest neighbours and their distance in Å.
Space group P4/mmm (No. 123)
One atom of each set of equivalent atoms:
Ba: 0.0000 0.5000 0.0000  2 Rh 2.99
Tl: 0.0000 0.0000 0.5000  2 Rh 2.63
Cu: 0.5000 0.5000 0.5000  8 Ba 3.98, 4 Tl 4.23
Rh: 0.0000 0.0000 0.0000  2 Tl 2.63

***

The following is a PBE calculation of Ba2ZnCuRh after structural relaxation, from Alexandria.

Output
Total moment in μB per atom: 0.0000
Crystal system: tetragonal
Energy of formation from the pure elements in eV/atom: -0.0115
Total DFT energy (no corrections) in Ry/atom: -0.2444

Lattice parameters (Å, degrees): 5.9555 5.9555 4.8315 90.00 90.00 90.00
Last column: nearest neighbours and their distance in Å.
Space group P4/mmm (No. 123)
One atom of each set of equivalent atoms:
Ba: 0.0000 0.5000 0.0000  2 Rh 2.98
Zn: 0.0000 0.0000 0.5000  2 Rh 2.42
Cu: 0.5000 0.5000 0.5000  8 Ba 3.83, 4 Zn 4.21
Rh: 0.0000 0.0000 0.0000  2 Zn 2.42

***

The following is a PBE calculation of BaZnCuRh after structural relaxation, from Alexandria.

Output
Total moment in μB per atom: 0.0000
Crystal system: monoclinic
Energy of formation from the pure elements in eV/atom: -0.2525
Total DFT energy (no corrections) in Ry/atom: -0.2876

Lattice parameters (Å, degrees): 7.6412 4.4074 6.0931 90.00 114.53 90.00
Last column: nearest neighbours and their distance in Å.
Space group Cm (No. 8)
One atom of each set of equivalent atoms:
Ba: 0.0000 0.0000 0.0000  1 Cu 3.07, 1 Rh 3.14
Zn: 0.0066 0.5000 0.5182  3 Rh 2.56, 3 Cu 2.57-2.58
Cu: 0.3157 0.5000 0.4462  3 Zn 2.57-2.58, 3 Rh 2.63-2.64
Rh: 0.1893 0.0000 0.5673  3 Zn 2.56, 3 Cu 2.63-2.64

***

The following is a PBE calculation of Ba2CuRu after structural relaxation, from Alexandria.

Output
Total moment in μB per atom: 0.1821
Crystal system: monoclinic
Energy of formation from the pure elements in eV/atom: 0.4951
Total DFT energy (no corrections) in Ry/atom: -0.2800

Lattice parameters (Å, degrees): 7.8655 7.8673 3.6913 90.00 90.13 90.00
Last column: nearest neighbours and their distance in Å.
Space group C2/m (No. 12)
One atom of each set of equivalent atoms:
Ba: 0.2500 0.2500 0.0000  4 Cu 3.34, 4 Ru 3.34, 2 Ba 3.69
Cu: 0.0000 0.0000 0.5000  8 Ba 3.34, 2 Cu 3.69
Ru: 0.0000 0.5000 0.5000  8 Ba 3.34, 2 Ru 3.69

***

Short version: mass density = 5.430; 7.715; 4.831; 6.211; 5.710; 4.908; 6.568; 6.387 Mg/m³, in the order given.